BOsO2F | PBE | optimized geometry

Structure (extended XYZ):
```
5
Lattice="3.7410 0.0000 0.0000 0.0000 3.7410 0.0000 0.0000 0.0000 4.8087" Properties=species:S:1:pos:R:3 pbc="T T T"
B 0.0000 0.0000 0.0000
Os 1.8705 1.8705 2.4044
O 0.0000 1.8705 2.4044
O 1.8705 0.0000 2.4044
F 1.8705 1.8705 0.0000
```

The formation energy (no corrections) is 15 kJ per mole of atoms.

BOsO2F | PBE | optimized geometry

Structure (extended XYZ):
```
5
Lattice="3.3328 0.0000 0.0000 0.0000 3.3328 0.0000 0.0000 0.0000 4.1643" Properties=species:S:1:pos:R:3 pbc="T T T"
B 0.0000 0.0000 0.0000
Os 1.6664 1.6664 2.0822
O 0.0000 1.6664 0.0000
O 1.6664 0.0000 0.0000
F 0.0000 0.0000 2.0822
```

The formation energy (no corrections) is 30 kJ per mole of atoms.

BPO2F | PBE | optimized geometry

Structure (extended XYZ):
```
5
Lattice="3.4096 0.0000 0.0000 0.0000 3.4096 0.0000 0.0000 0.0000 3.5078" Properties=species:S:1:pos:R:3 pbc="T T T"
B 0.0000 0.0000 0.0000
P 1.7048 1.7048 1.7539
O 0.0000 1.7048 0.0000
O 1.7048 0.0000 0.0000
F 0.0000 0.0000 1.7539
```

The formation energy (no corrections) is -30 kJ per mole of atoms.

| no. | N(E_F) (states/eV per cell) | M_tot (μB/cell) |
| --- | --- | --- |
| 1 | 2.04 | 0.0 |
| 2 | 1.33 | 4.1 |
| 3 | 1.22 | 0.0 |